(1)
DFT (GGA-PBE) results for a geometry-optimized TcRuCl2 structure.

Cell and atoms, written as CIF:
```
data_TcRuCl2
_chemical_formula_sum 'Tc1 Ru1 Cl2'
_space_group_name_H-M_alt 'P 1'
_space_group_IT_number 1
_cell_length_a 2.928
_cell_length_b 2.928
_cell_length_c 8.613
_cell_angle_alpha 90.00
_cell_angle_beta 90.00
_cell_angle_gamma 90.00
loop_
_space_group_symop_operation_xyz
'x,y,z'
loop_
_atom_site_label
_atom_site_fract_x
_atom_site_fract_y
_atom_site_fract_z
Tc1 0.000 0.000 0.000
Ru1 0.500 0.500 0.816
Cl1 0.000 0.000 0.614
Cl2 0.500 0.500 0.195
```

V: 18.459 Å³/atom
N(E_F): 0.313 states/eV/atom
Density: 6.1 g cm⁻³
Symmetry: P4mm

(2)
DFT (GGA-PBE) results for a geometry-optimized Pm2Ga3CoIr4 structure.

Cell and atoms, written as CIF:
```
data_Pm2Ga3CoIr4
_chemical_formula_sum 'Pm2 Ga3 Co1 Ir4'
_space_group_name_H-M_alt 'P 1'
_space_group_IT_number 1
_cell_length_a 4.220
_cell_length_b 4.220
_cell_length_c 10.301
_cell_angle_alpha 90.00
_cell_angle_beta 90.00
_cell_angle_gamma 90.00
loop_
_space_group_symop_operation_xyz
'x,y,z'
loop_
_atom_site_label
_atom_site_fract_x
_atom_site_fract_y
_atom_site_fract_z
Pm1 0.000 0.500 0.248
Pm2 0.500 0.000 0.752
Ga1 0.000 0.500 0.870
Ga2 0.500 0.000 0.130
Ga3 0.500 0.500 0.500
Co1 0.000 0.000 0.500
Ir1 0.000 0.000 0.000
Ir2 0.000 0.500 0.630
Ir3 0.500 0.000 0.370
Ir4 0.500 0.500 0.000
```

V: 18.345 Å³/atom
N(E_F): 0.635 states/eV/atom
Formation energy from the elements: -5.76 eV/f.u.
Density: 12.0 g cm⁻³
Symmetry: P-4m2

(3)
DFT (GGA-PBE) results for a geometry-optimized InTcI2 structure.

Cell and atoms, written as CIF:
```
data_InTcI2
_chemical_formula_sum 'In1 Tc1 I2'
_space_group_name_H-M_alt 'P 1'
_space_group_IT_number 1
_cell_length_a 5.511
_cell_length_b 5.511
_cell_length_c 5.511
_cell_angle_alpha 60.00
_cell_angle_beta 60.00
_cell_angle_gamma 60.00
loop_
_space_group_symop_operation_xyz
'x,y,z'
loop_
_atom_site_label
_atom_site_fract_x
_atom_site_fract_y
_atom_site_fract_z
In1 0.000 0.000 0.000
Tc1 0.500 0.500 0.500
I1 0.250 0.250 0.250
I2 0.750 0.750 0.750
```

V: 29.589 Å³/atom
N(E_F): 2.069 states/eV/atom
Density: 6.5 g cm⁻³
Symmetry: Fm-3m

(4)
DFT (GGA-PBE) results for a geometry-optimized ThSi2Pt7Au structure.

Cell and atoms, written as CIF:
```
data_ThSi2Pt7Au
_chemical_formula_sum 'Th1 Si2 Pt7 Au1'
_space_group_name_H-M_alt 'P 1'
_space_group_IT_number 1
_cell_length_a 14.958
_cell_length_b 14.958
_cell_length_c 14.958
_cell_angle_alpha 164.26
_cell_angle_beta 164.26
_cell_angle_gamma 22.33
loop_
_space_group_symop_operation_xyz
'x,y,z'
loop_
_atom_site_label
_atom_site_fract_x
_atom_site_fract_y
_atom_site_fract_z
Th1 0.000 0.000 0.000
Si1 0.379 0.379 0.000
Si2 0.621 0.621 0.000
Pt1 0.076 0.576 0.500
Pt2 0.304 0.304 0.000
Pt3 0.424 0.924 0.500
Pt4 0.500 0.500 0.000
Pt5 0.577 0.077 0.500
Pt6 0.696 0.696 0.000
Pt7 0.923 0.423 0.500
Au1 0.750 0.250 0.500
```

V: 22.375 Å³/atom
N(E_F): 0.485 states/eV/atom
Density: 12.5 g cm⁻³
Symmetry: I-4m2

(5)
DFT (GGA-PBE) results for a geometry-optimized Tb12CoCu6 structure.

Cell and atoms, written as CIF:
```
data_Tb12CoCu6
_chemical_formula_sum 'Tb12 Co1 Cu6'
_space_group_name_H-M_alt 'P 1'
_space_group_IT_number 1
_cell_length_a 8.069
_cell_length_b 8.069
_cell_length_c 8.069
_cell_angle_alpha 97.90
_cell_angle_beta 97.90
_cell_angle_gamma 97.90
loop_
_space_group_symop_operation_xyz
'x,y,z'
loop_
_atom_site_label
_atom_site_fract_x
_atom_site_fract_y
_atom_site_fract_z
Tb1 0.026 0.683 0.923
Tb2 0.077 0.974 0.317
Tb3 0.190 0.418 0.567
Tb4 0.317 0.077 0.974
Tb5 0.418 0.567 0.190
Tb6 0.433 0.810 0.582
Tb7 0.567 0.190 0.418
Tb8 0.582 0.433 0.810
Tb9 0.683 0.923 0.026
Tb10 0.810 0.582 0.433
Tb11 0.923 0.026 0.683
Tb12 0.974 0.317 0.077
Co1 0.000 0.000 0.000
Cu1 0.127 0.633 0.312
Cu2 0.312 0.127 0.633
Cu3 0.367 0.688 0.873
Cu4 0.633 0.312 0.127
Cu5 0.688 0.873 0.367
Cu6 0.873 0.367 0.688
```

V: 26.782 Å³/atom
N(E_F): 1.052 states/eV/atom
Formation energy from the elements: 0.10 eV/f.u.
Density: 7.7 g cm⁻³
Symmetry: R-3

(6)
DFT (GGA-PBE) results for a geometry-optimized BaDy2ReO8 structure.

Cell and atoms, written as CIF:
```
data_BaDy2ReO8
_chemical_formula_sum 'Ba1 Dy2 Re1 O8'
_space_group_name_H-M_alt 'P 1'
_space_group_IT_number 1
_cell_length_a 4.536
_cell_length_b 5.225
_cell_length_c 7.101
_cell_angle_alpha 88.20
_cell_angle_beta 72.16
_cell_angle_gamma 85.31
loop_
_space_group_symop_operation_xyz
'x,y,z'
loop_
_atom_site_label
_atom_site_fract_x
_atom_site_fract_y
_atom_site_fract_z
Ba1 0.000 0.000 0.000
Dy1 0.398 0.512 0.282
Dy2 0.602 0.488 0.718
Re1 0.000 0.000 0.500
O1 0.152 0.290 0.589
O2 0.227 0.769 0.620
O3 0.247 0.494 0.011
O4 0.341 0.976 0.260
O5 0.659 0.024 0.740
O6 0.753 0.506 0.989
O7 0.773 0.231 0.380
O8 0.848 0.710 0.411
```

V: 13.304 Å³/atom
N(E_F): 0.107 states/eV/atom
Density: 8.1 g cm⁻³
Symmetry: P-1

| no. | total magnetic moment (μB/atom) | uncorrected energy (eV per atom) |
| --- | --- | --- |
| 1 | 0.00 | -5.846 |
| 2 | 0.20 | -6.689 |
| 3 | 1.00 | -3.334 |
| 4 | 0.00 | -6.129 |
| 5 | 0.00 | -4.587 |
| 6 | 0.02 | -7.737 |